A plane-wave DFT calculation with PBE was carried out for crystalline Na4Ac3Sn4 at its relaxed geometry.

final energy	-76.052	eV/cell
M_tot	0.0	μB/cell

Cell: 5.131 7.961 16.905 Å, 90.00 90.00 90.00°
Space group Immm (No. 71)
Asymmetric unit:
Na1 0.000 0.194 0.173
Ac1 0.000 0.000 0.376
Ac2 0.000 0.500 0.500
Sn1 0.000 0.313 0.000
Sn2 0.000 0.500 0.287

***

A plane-wave DFT calculation with PBE was carried out for crystalline NaAc6Sn2 at its relaxed geometry.

final energy	-68.785	eV/cell
M_tot	0.0	μB/cell

Cell: 17.904 8.285 5.516 Å, 90.00 107.86 90.00°
Space group C2/m (No. 12)
Asymmetric unit:
Na1 0.000 0.000 0.000
Ac1 0.000 0.266 0.500
Ac2 0.170 0.253 0.170
Sn1 0.168 0.500 0.668

***

A plane-wave DFT calculation with PBE was carried out for crystalline Na2Ac5Sn5 at its relaxed geometry.

final energy	-96.539	eV/cell
M_tot	0.0	μB/cell

Cell: 13.412 5.007 14.020 Å, 90.00 117.74 90.00°
Space group C2/m (No. 12)
Asymmetric unit:
Na1 0.214 0.000 0.264
Ac1 0.000 0.500 0.000
Ac2 0.104 0.000 0.776
Ac3 0.151 0.000 0.491
Sn1 0.000 0.500 0.500
Sn2 0.096 0.500 0.285
Sn3 0.219 0.000 0.046

***

Among the records above, which one has the highest final energy? NaAc6Sn2